1.
This record from Alexandria via LeMat-Bulk describes a relaxed structure of Li2SiPb. The functional is PBE.

a b c (Å): 9.374 9.374 9.374
angles (deg): 19.45 19.45 19.45
Fractional positions:
Li: 0.008 0.008 0.008
Li: 0.492 0.492 0.492
Pb: 0.250 0.250 0.250
Si: 0.750 0.750 0.750

Energy above the most stable polymorph in this dataset ... 84 meV per atom
E_form (uncorrected) ... 0.00 eV per atom
Calculated total energy ... -0.23805 Ry/atom


2.
This record from Alexandria via LeMat-Bulk describes a relaxed structure of Cd3H4Pt2. The functional is PBE.

a b c (Å): 3.482 5.387 8.950
angles (deg): 48.20 78.78 71.15
Fractional positions:
Cd: 0.310 0.694 0.686
Cd: 0.000 0.000 0.000
Cd: 0.690 0.306 0.314
H: 0.288 0.287 0.138
H: 0.712 0.713 0.862
H: 0.061 0.238 0.640
H: 0.939 0.762 0.360
Pt: 0.418 0.857 0.307
Pt: 0.582 0.143 0.693

Calculated total energy ... -0.23538 Ry/atom


> What is the formula in the second record?

Cd3H4Pt2